VASP calculation (GGA+U) on a relaxed SrCoHg2O4 crystal.

The total energy comes out at -35.6 eV for the cell shown.

Cell: 6.025 5.599 5.599 Å, 73.06 57.45 57.45°
Each line ends with the local moment (μB).
Sites, in units of the cell vectors:
Hg  0.000  0.279  0.721  0.01
O  0.446  0.160  0.554  0.05
Hg  0.000  0.721  0.279  0.01
O  0.159  0.840  0.446  0.05
O  0.841  0.554  0.160  0.05
Sr  0.500  0.000  0.000  0.00
O  0.554  0.446  0.840  0.05
Co  0.500  0.500  0.500  2.67